Entry from the Alexandria database: a geometry-optimized Pm6Er3Tl structure (GGA-PBE).

Cell and atoms, written as CIF:
```
data_Pm6Er3Tl
_chemical_formula_sum 'Pm12 Er6 Tl2'
_symmetry_space_group_name_H-M 'P 1 21/m 1'
_symmetry_Int_Tables_number 11
_cell_length_a 12.3467
_cell_length_b 3.6078
_cell_length_c 14.8056
_cell_angle_alpha 90.00
_cell_angle_beta 93.84
_cell_angle_gamma 90.00
loop_
_symmetry_equiv_pos_as_xyz
'x,y,z'
'-x,-y,-z'
'-x,y+1/2,-z'
'x,-y+1/2,z'
loop_
_atom_site_label
_atom_site_type_symbol
_atom_site_fract_x
_atom_site_fract_y
_atom_site_fract_z
Pm1 Pm 0.0642 0.2500 0.3904
Pm2 Pm 0.1198 0.7500 0.9535
Pm3 Pm 0.2012 0.2500 0.7525
Pm4 Pm 0.2954 0.7500 0.3116
Pm5 Pm 0.3092 0.2500 0.1071
Pm6 Pm 0.3876 0.2500 0.4978
Er1 Er 0.0733 0.7500 0.1812
Er2 Er 0.4002 0.7500 0.9191
Er3 Er 0.4489 0.7500 0.6975
Tl1 Tl 0.1885 0.7500 0.5593
```

***

Entry from the Alexandria database: a geometry-optimized Pm2ErTl structure (GGA-PBE).

Cell and atoms, written as CIF:
```
data_Pm2ErTl
_chemical_formula_sum 'Pm2 Er1 Tl1'
_symmetry_space_group_name_H-M 'P 4/m m m'
_symmetry_Int_Tables_number 123
_symmetry_space_group_name_Hall '-P 4 2'
_cell_length_a 3.6428
_cell_length_b 3.6428
_cell_length_c 9.4380
_cell_angle_alpha 90.00
_cell_angle_beta 90.00
_cell_angle_gamma 90.00
loop_
_atom_site_label
_atom_site_type_symbol
_atom_site_fract_x
_atom_site_fract_y
_atom_site_fract_z
Pm1 Pm 0.0000 0.0000 0.2321
Er1 Er 0.5000 0.5000 0.5000
Tl1 Tl 0.5000 0.5000 0.0000
```

***

Entry from the Alexandria database: a geometry-optimized PmEr4Tl2 structure (GGA-PBE).

Cell and atoms, written as CIF:
```
data_PmEr4Tl2
_chemical_formula_sum 'Pm2 Er8 Tl4'
_symmetry_space_group_name_H-M 'P 42/m n m'
_symmetry_Int_Tables_number 136
_symmetry_space_group_name_Hall '-P 4n 2n'
_cell_length_a 9.3675
_cell_length_b 9.3675
_cell_length_c 4.9113
_cell_angle_alpha 90.00
_cell_angle_beta 90.00
_cell_angle_gamma 90.00
loop_
_atom_site_label
_atom_site_type_symbol
_atom_site_fract_x
_atom_site_fract_y
_atom_site_fract_z
Pm1 Pm 0.0000 0.0000 0.0000
Er1 Er 0.1084 0.3570 0.5000
Tl1 Tl 0.1815 0.8185 0.5000
```

***

| no. | uncorrected energy (eV/atom) | energy relative to the elements (meV per atom) |
| --- | --- | --- |
| 1 | -4.43 | 21 |
| 2 | -4.25 | -146 |
| 3 | -4.08 | -114 |